# Li3NbV2O6

Li3NbV2O6 after structural relaxation (GGA+U, Alexandria via LeMat-Bulk).

```
Li3NbV2O6
1.0
6.0321 0.0150 -0.0007
-0.0156 6.1692 0.0195
-1.5050 -1.6595 6.3587
O Li V Nb
12 6 4 2
Direct
0.1618 0.9092 0.6805 O
0.6763 0.9095 0.6782 O
0.5031 0.7380 0.0127 O
0.6710 0.4301 0.6561 O
0.8382 0.0908 0.3195 O
0.1574 0.4266 0.6559 O
0.3237 0.0905 0.3218 O
0.0027 0.2378 0.0094 O
0.4969 0.2620 0.9873 O
0.8426 0.5734 0.3441 O
0.9973 0.7622 0.9906 O
0.3290 0.5699 0.3439 O
0.5814 0.8093 0.3436 Li
0.0852 0.8237 0.3359 Li
0.4186 0.1907 0.6564 Li
0.7516 0.5001 0.9988 Li
0.2484 0.4999 0.0012 Li
0.9148 0.1763 0.6641 Li
0.0839 0.3414 0.3336 V
0.5820 0.3334 0.3253 V
0.9161 0.6586 0.6664 V
0.4180 0.6666 0.6747 V
0.7251 0.9998 0.0001 Nb
0.2749 0.0002 0.9999 Nb
```

Summary:
E_tot   -7.1531 eV per atom
Relative energy among the computed polymorphs   0.0001 eV/atom

# Li3NbV3O8

Li3NbV3O8 after structural relaxation (GGA+U, Alexandria via LeMat-Bulk).

```
Li3NbV3O8
1.0
6.1112 0.0008 0.0161
-3.0546 5.2888 -0.0087
-0.0035 -3.4603 9.9308
V O Li Nb
6 16 6 2
Direct
0.2509 0.0028 0.2512 V
0.7546 0.0001 0.2533 V
0.9909 0.9972 0.4937 V
0.5060 0.9968 0.9999 V
0.2472 0.9966 0.7528 V
0.7542 0.0017 0.7491 V
0.3969 0.7911 0.1335 O
0.1508 0.7761 0.3770 O
0.6530 0.7716 0.8820 O
0.8908 0.7757 0.1229 O
0.6215 0.2187 0.8759 O
0.8681 0.2109 0.1163 O
0.8455 0.2296 0.6191 O
0.1083 0.2298 0.8806 O
0.8754 0.7754 0.6309 O
0.1358 0.7666 0.8886 O
0.6134 0.2267 0.3786 O
0.6154 0.7749 0.3772 O
0.3545 0.2206 0.1157 O
0.3952 0.7760 0.6225 O
0.1175 0.2302 0.3615 O
0.3697 0.2276 0.6165 O
0.2501 0.5043 0.2555 Li
0.5141 0.4977 0.0038 Li
0.9872 0.5045 0.5012 Li
0.4985 0.5062 0.4998 Li
0.9977 0.4935 0.9996 Li
0.7362 0.4979 0.7422 Li
0.0063 0.9926 0.9948 Nb
0.4948 0.0069 0.5045 Nb
```

Summary:
E_tot   -7.3117 eV per atom

# Li2NbV3O8

Li2NbV3O8 after structural relaxation (GGA+U, Alexandria via LeMat-Bulk).

```
Li2NbV3O8
1.0
-3.1051 -0.6024 5.1663
-0.9727 -5.5087 2.3244
2.8900 -1.6927 5.0910
O Li V Nb
8 2 3 1
Direct
0.2642 0.7196 0.7519 O
0.7358 0.7358 0.2481 O
0.2649 0.2649 0.2052 O
0.2642 0.2642 0.7519 O
0.7358 0.2804 0.2481 O
0.7351 0.7351 0.7948 O
0.2804 0.7358 0.2481 O
0.7196 0.2642 0.7519 O
0.8714 0.8714 0.3857 Li
0.1286 0.1286 0.6143 Li
0.5000 0.5000 0.0000 V
0.5000 0.0000 0.0000 V
0.0000 0.5000 0.0000 V
0.5000 0.5000 0.5000 Nb
```

Summary:
E_tot   -7.6461 eV per atom
Relative energy among the computed polymorphs   0.0075 eV/atom

# Li3Nb4VO12

Li3Nb4VO12 after structural relaxation (GGA+U, Alexandria via LeMat-Bulk).

```
Li3Nb4VO12
1.0
5.2378 -0.0001 -0.0002
-0.0212 5.6370 0.0064
-0.0032 -0.7409 7.6407
Nb O Li V
4 12 3 1
Direct
0.0083 0.9982 0.9948 Nb
0.9985 0.0070 0.5019 Nb
0.5047 0.4993 0.9898 Nb
0.4976 0.5166 0.4976 Nb
0.6292 0.5367 0.2359 O
0.3743 0.5352 0.7383 O
0.1262 0.0345 0.7397 O
0.6967 0.2218 0.9161 O
0.1878 0.7151 0.4150 O
0.1778 0.3510 0.0479 O
0.3040 0.2182 0.4156 O
0.3198 0.8467 0.0437 O
0.8207 0.3438 0.5439 O
0.6798 0.8408 0.5449 O
0.8028 0.7217 0.9211 O
0.8696 0.0423 0.2371 O
0.9999 0.4354 0.7857 Li
0.5008 0.9385 0.2782 Li
0.5039 0.9351 0.7849 Li
0.9975 0.4028 0.2975 V
```

Summary:
E_tot   -8.0411 eV per atom

# Li2NbV3O8

Li2NbV3O8 after structural relaxation (GGA+U, Alexandria via LeMat-Bulk).

```
Li2NbV3O8
1.0
-5.7912 -2.6542 1.2065
-5.2884 -2.4262 -2.8610
0.8510 -6.6632 -0.2684
O V Li Nb
8 3 2 1
Direct
0.4394 0.4394 0.3677 O
0.7710 0.7710 0.3445 O
0.3534 0.3534 0.9941 O
0.5642 0.5642 0.6443 O
0.1212 0.1212 0.3278 O
0.2224 0.2224 0.6682 O
0.6501 0.6501 0.9976 O
0.8814 0.8814 0.6680 O
0.3903 0.3903 0.7034 V
0.2954 0.2954 0.2732 V
0.6088 0.6088 0.3117 V
0.0549 0.0549 0.6354 Li
0.9394 0.9394 0.3451 Li
0.7080 0.7080 0.7189 Nb
```

Summary:
E_tot   -7.5647 eV per atom
Relative energy among the computed polymorphs   0.0888 eV/atom

# Li3NbV2O6

Li3NbV2O6 after structural relaxation (GGA+U, Alexandria via LeMat-Bulk).

```
Li3NbV2O6
1.0
-5.6121 1.8861 1.1478
-3.7847 -5.2453 -1.9376
2.5990 -4.5623 4.4042
Li O V Nb
6 12 4 2
Direct
0.7463 0.9994 0.4878 Li
0.2409 0.9882 0.4809 Li
0.7501 0.3333 0.1665 Li
0.2498 0.3333 0.1668 Li
0.7539 0.6674 0.8454 Li
0.2594 0.6784 0.8523 Li
0.3795 0.3438 0.9312 O
0.3825 0.6537 0.5771 O
0.6234 0.6772 0.0965 O
0.8766 0.9895 0.2368 O
0.6323 0.0127 0.7566 O
0.1175 0.0130 0.7562 O
0.8700 0.3243 0.9027 O
0.1328 0.6784 0.0936 O
0.6299 0.3424 0.4307 O
0.8676 0.6540 0.5767 O
0.1204 0.3229 0.4022 O
0.3672 0.9882 0.2397 O
0.4984 0.0071 0.0001 V
0.0016 0.6596 0.3333 V
0.0025 0.0002 0.0074 V
0.4974 0.6664 0.3259 V
0.4751 0.3328 0.6668 Nb
0.0249 0.3339 0.6666 Nb
```

Summary:
E_tot   -7.1532 eV per atom
Relative energy among the computed polymorphs   0.0000 eV/atom

# Li3Nb2VO6

Li3Nb2VO6 after structural relaxation (GGA+U, Alexandria via LeMat-Bulk).

```
Li3Nb2VO6
1.0
-0.4762 2.2499 -1.8057
-5.1881 -2.6985 -1.9941
-1.5786 2.7772 6.2440
Nb O Li V
2 6 3 1
Direct
0.3228 0.1447 0.6456 Nb
0.6772 0.8553 0.3544 Nb
0.1561 0.1004 0.3122 O
0.8406 0.4102 0.6812 O
0.1594 0.5898 0.3188 O
0.5113 0.7366 0.0225 O
0.4887 0.2634 0.9775 O
0.8439 0.8996 0.6878 O
0.6594 0.3410 0.3189 Li
0.3406 0.6590 0.6811 Li
0.0000 0.0000 0.0000 Li
0.0000 0.5000 0.0000 V
```

Summary:
E_tot   -7.4379 eV per atom

# Li4NbV3O8

Li4NbV3O8 after structural relaxation (GGA+U, Alexandria via LeMat-Bulk).

```
Li4NbV3O8
1.0
-3.4927 -4.8862 -0.9435
2.5044 -5.2932 -1.6355
0.1329 -4.6659 3.8956
Li O Nb V
4 8 1 3
Direct
0.5000 0.5000 0.5000 Li
0.0000 0.0000 0.5000 Li
0.0000 0.5000 0.0000 Li
0.5000 0.0000 0.0000 Li
0.7603 0.7603 0.2436 O
0.7450 0.7450 0.7450 O
0.2550 0.2550 0.2550 O
0.2397 0.2397 0.7564 O
0.7564 0.2397 0.2397 O
0.2397 0.7564 0.2397 O
0.7603 0.2436 0.7603 O
0.2436 0.7603 0.7603 O
0.0000 0.0000 0.0000 Nb
0.5000 0.5000 0.0000 V
0.5000 0.0000 0.5000 V
0.0000 0.5000 0.5000 V
```

Summary:
E_tot   -7.0710 eV per atom